# 1
## IrRu2Rh (PBE)

Data for IrRu2Rh after structural relaxation.

Cell lengths 8.9569, 8.9569, 8.9569 Å; angles 17.51, 17.51, 17.51 degrees
Closest atoms and distances in Å follow each position.
Positions (direct):
Ru 0.9988 0.9988 0.9988  9 Ru 2.66-2.73, 3 Rh 2.71
Ru 0.2510 0.2510 0.2510  9 Ru 2.66-2.73, 3 Ir 2.70
Ir 0.5012 0.5012 0.5012  3 Ru 2.70, 6 Ir 2.73, 3 Rh 2.76
Rh 0.7490 0.7490 0.7490  3 Ru 2.71, 6 Rh 2.73, 3 Ir 2.76

Output
- energy above the most stable polymorph in this dataset (eV/atom) = 0.073
- total moment (μB/cell) = 0.0
- energy of formation from the pure elements (eV/atom) = 0.0798
- D(E_F) (states/eV/cell) = 6.790

# 2
## NaZnS2N (PBE)

Data for NaZnS2N after structural relaxation.

Cell lengths 5.0311, 5.0311, 4.3050 Å; angles 90.00, 90.00, 90.00 degrees
Closest atoms and distances in Å follow each position.
Positions (direct):
Na 0.0000 0.0000 0.0000  2 N 2.15
Zn 0.5000 0.5000 0.5000  8 S 3.31, 4 N 3.56
S 0.0000 0.5000 0.0000  2 Na 2.52
S 0.5000 0.0000 0.0000  2 Na 2.52
N 0.0000 0.0000 0.5000  2 Na 2.15

Output
- energy above the most stable polymorph in this dataset (eV/atom) = 0.827
- total moment (μB/cell) = 3.9
- D(E_F) (states/eV/cell) = 3.699
- uncorrected formation energy (eV per atom) = 1.38

# 3
## LiPrGePd (PBE)

Data for LiPrGePd after structural relaxation.

Cell lengths 4.7479, 4.7479, 4.7479 Å; angles 60.00, 60.00, 60.00 degrees
Closest atoms and distances in Å follow each position.
Positions (direct):
Pr 0.7500 0.7500 0.7500  4 Li 2.91, 4 Pd 2.91
Ge 0.2500 0.2500 0.2500  4 Li 2.91, 4 Pd 2.91
Pd 0.0000 0.0000 0.0000  4 Pr 2.91, 4 Ge 2.91
Li 0.5000 0.5000 0.5000  4 Ge 2.91, 4 Pr 2.91

Output
- total moment (μB/cell) = 0.0
- energy of formation from the pure elements (eV/atom) = -0.6549

# 4
## Si2SO (PBE)

Data for Si2SO after structural relaxation.

Cell lengths 4.1802, 4.1802, 4.1802 Å; angles 60.00, 60.00, 60.00 degrees
Closest atoms and distances in Å follow each position.
Positions (direct):
S 0.5000 0.5000 0.5000  8 Si 2.56
Si 0.2500 0.2500 0.2500  4 O 2.56, 4 S 2.56
Si 0.7500 0.7500 0.7500  4 O 2.56, 4 S 2.56
O 0.0000 0.0000 0.0000  8 Si 2.56

Output
- energy above the most stable polymorph in this dataset (eV/atom) = 0.566
- total moment (μB/cell) = 0.0
- D(E_F) (states/eV/cell) = 2.130
- uncorrected formation energy (eV per atom) = 0.30

# 5
## AlCrB2Se (PBE)

Data for AlCrB2Se after structural relaxation.

Cell lengths 3.9009, 5.1385, 3.9009 Å; angles 90.00, 90.00, 90.00 degrees
Closest atoms and distances in Å follow each position.
Positions (direct):
Cr 0.0000 0.0000 0.0000  4 B 1.95
B 0.0000 0.0000 0.5000  2 Cr 1.95
B 0.5000 0.0000 0.0000  2 Cr 1.95
Al 0.0000 0.5000 0.0000  2 Cr 2.57, 4 Se 2.76
Se 0.5000 0.5000 0.5000  4 Al 2.76

Output
- total moment (μB/cell) = 0.0
- D(E_F) (states/eV/cell) = 5.190
- uncorrected formation energy (eV per atom) = 1.16

# 6
## RuRhSN2 (PBE)

Data for RuRhSN2 after structural relaxation.

Cell lengths 3.7142, 3.7142, 5.1776 Å; angles 90.00, 90.00, 90.00 degrees
Closest atoms and distances in Å follow each position.
Positions (direct):
Ru 0.0000 0.0000 0.0000  4 N 1.86
S 0.0000 0.0000 0.5000  2 Ru 2.59, 4 Rh 2.63
Rh 0.5000 0.5000 0.5000  4 S 2.63
N 0.0000 0.5000 0.0000  2 Ru 1.86
N 0.5000 0.0000 0.0000  2 Ru 1.86

Output
- energy above the most stable polymorph in this dataset (eV/atom) = 0.000
- total moment (μB/cell) = 0.9
- D(E_F) (states/eV/cell) = 5.460
- uncorrected formation energy (eV per atom) = 1.01

# 7
## PdRuPt2 (PBE)

Data for PdRuPt2 after structural relaxation.

Cell lengths 2.7735, 2.7735, 7.8626 Å; angles 90.00, 90.00, 90.00 degrees
Closest atoms and distances in Å follow each position.
Positions (direct):
Pd 0.5000 0.5000 0.0000  4 Pd 2.77, 8 Pt 2.84
Ru 0.5000 0.5000 0.5000  8 Pt 2.71, 4 Ru 2.77
Pt 0.0000 0.0000 0.2613  4 Ru 2.71, 4 Pt 2.77, 4 Pd 2.84
Pt 0.0000 0.0000 0.7387  4 Ru 2.71, 4 Pt 2.77, 4 Pd 2.84

Output
- energy above the most stable polymorph in this dataset (eV/atom) = 0.000
- total moment (μB/cell) = 0.3
- energy of formation from the pure elements (eV/atom) = -0.0198
- D(E_F) (states/eV/cell) = 7.005

# 8
## K2LiH2 (PBE)

Data for K2LiH2 after structural relaxation.

Cell lengths 4.9584, 4.9584, 7.1402 Å; angles 69.68, 69.68, 90.00 degrees
Closest atoms and distances in Å follow each position.
Positions (direct):
H 0.7500 0.2500 0.5000  4 K 2.63
H 0.2500 0.7500 0.5000  4 K 2.63
K 0.3194 0.3194 0.3612  4 H 2.63
K 0.6806 0.6806 0.6388  4 H 2.63
Li 0.0000 0.0000 0.0000  10 K 3.97-4.16, 8 H 3.98

Output
- total moment (μB/cell) = 0.0
- final energy (eV per atom) = -1.9999
- D(E_F) (states/eV/cell) = 2.317